! PBE Pu4P2Rh, optimized geometry; values from VASP
! - Total DFT energy (no corrections): -0.41638 Ha/atom
! - Space group: No. 166
! - ΔE_f: -545 meV per atom
&SYSTEM
  ibrav = 0, nat = 7, ntyp = 3
/
ATOMIC_SPECIES
Pu 244.00 Pu.upf
P 30.97 P.upf
Rh 102.91 Rh.upf
ATOMIC_POSITIONS crystal
Pu 0.1148 0.1148 0.1148
Pu 0.3182 0.3182 0.3182
Pu 0.6818 0.6818 0.6818
Pu 0.8852 0.8852 0.8852
P 0.3979 0.3979 0.3979
P 0.6021 0.6021 0.6021
Rh 0.5000 0.5000 0.5000
CELL_PARAMETERS angstrom
1.8798 1.0853 11.6169
-1.8798 1.0853 11.6169
0.0000 -2.1706 11.6169


! PBE Pu4P5Rh, optimized geometry; values from VASP
! - Total DFT energy (no corrections): -0.37549 Ha/atom
! - Space group: No. 166
! - ΔE_f: -1045 meV per atom
&SYSTEM
  ibrav = 0, nat = 10, ntyp = 3
/
ATOMIC_SPECIES
Pu 244.00 Pu.upf
P 30.97 P.upf
Rh 102.91 Rh.upf
ATOMIC_POSITIONS crystal
Pu 0.1103 0.1103 0.1103
Pu 0.2970 0.2970 0.2970
Pu 0.7030 0.7030 0.7030
Pu 0.8897 0.8897 0.8897
P 0.0000 0.0000 0.0000
P 0.1892 0.1892 0.1892
P 0.4065 0.4065 0.4065
P 0.5935 0.5935 0.5935
P 0.8108 0.8108 0.8108
Rh 0.5000 0.5000 0.5000
CELL_PARAMETERS angstrom
1.9723 1.1387 15.0045
-1.9723 1.1387 15.0045
0.0000 -2.2775 15.0045


! PBE Pu2P2Rh5, optimized geometry; values from VASP
! - Total DFT energy (no corrections): -0.33892 Ha/atom
! - Space group: No. 123
! - ΔE_f: -751 meV per atom
&SYSTEM
  ibrav = 0, nat = 9, ntyp = 3
/
ATOMIC_SPECIES
Pu 244.00 Pu.upf
P 30.97 P.upf
Rh 102.91 Rh.upf
ATOMIC_POSITIONS crystal
Pu 0.0000 0.0000 0.0000
Pu 0.0000 0.0000 0.5000
P 0.5000 0.5000 0.1320
P 0.5000 0.5000 0.8680
Rh 0.0000 0.5000 0.2619
Rh 0.0000 0.5000 0.7381
Rh 0.5000 0.0000 0.2619
Rh 0.5000 0.0000 0.7381
Rh 0.5000 0.5000 0.5000
CELL_PARAMETERS angstrom
4.0633 0.0000 0.0000
0.0000 4.0633 0.0000
0.0000 0.0000 8.9045


! PBE PuPRh2, optimized geometry; values from VASP
! - Total DFT energy (no corrections): -0.34483 Ha/atom
! - Space group: No. 129
! - ΔE_f: -772 meV per atom
&SYSTEM
  ibrav = 0, nat = 8, ntyp = 3
/
ATOMIC_SPECIES
Pu 244.00 Pu.upf
P 30.97 P.upf
Rh 102.91 Rh.upf
ATOMIC_POSITIONS crystal
Pu 0.2500 0.2500 0.2090
Pu 0.7500 0.7500 0.7910
P 0.2500 0.2500 0.6499
P 0.7500 0.7500 0.3501
Rh 0.2500 0.2500 0.9031
Rh 0.2500 0.7500 0.5000
Rh 0.7500 0.2500 0.5000
Rh 0.7500 0.7500 0.0969
CELL_PARAMETERS angstrom
3.8558 0.0000 0.0000
0.0000 3.8558 0.0000
0.0000 0.0000 9.3281


! PBE Pu2PRh3, optimized geometry; values from VASP
! - Total DFT energy (no corrections): -0.37106 Ha/atom
! - Space group: No. 166
! - ΔE_f: -742 meV per atom
&SYSTEM
  ibrav = 0, nat = 6, ntyp = 3
/
ATOMIC_SPECIES
Pu 244.00 Pu.upf
P 30.97 P.upf
Rh 102.91 Rh.upf
ATOMIC_POSITIONS crystal
Pu 0.1212 0.1212 0.1212
Pu 0.8788 0.8788 0.8788
P 0.5000 0.5000 0.5000
Rh 0.0000 0.5000 0.5000
Rh 0.5000 0.0000 0.5000
Rh 0.5000 0.5000 0.0000
CELL_PARAMETERS angstrom
2.7629 1.5951 3.8815
-2.7629 1.5951 3.8815
0.0000 -3.1903 3.8815


! PBE Pu2PRh6, optimized geometry; values from VASP
! - Total DFT energy (no corrections): -0.34114 Ha/atom
! - Space group: No. 12
! - ΔE_f: -596 meV per atom
&SYSTEM
  ibrav = 0, nat = 9, ntyp = 3
/
ATOMIC_SPECIES
Pu 244.00 Pu.upf
P 30.97 P.upf
Rh 102.91 Rh.upf
ATOMIC_POSITIONS crystal
Pu 0.2362 0.2362 0.2679
Pu 0.7638 0.7638 0.7321
P 0.0000 0.0000 0.5000
Rh 0.2656 0.7101 0.2308
Rh 0.2665 0.2665 0.7901
Rh 0.2899 0.7344 0.7692
Rh 0.7101 0.2656 0.2308
Rh 0.7335 0.7335 0.2099
Rh 0.7344 0.2899 0.7692
CELL_PARAMETERS angstrom
4.8784 -3.0782 0.0000
4.8784 3.0782 0.0000
-2.8958 0.0000 5.0144


! PBE PuP2Rh5, optimized geometry; values from VASP
! - Total DFT energy (no corrections): -0.31097 Ha/atom
! - Space group: No. 71
! - ΔE_f: -723 meV per atom
&SYSTEM
  ibrav = 0, nat = 8, ntyp = 3
/
ATOMIC_SPECIES
Pu 244.00 Pu.upf
P 30.97 P.upf
Rh 102.91 Rh.upf
ATOMIC_POSITIONS crystal
Pu 0.0000 0.0000 0.0000
P 0.2548 0.7548 0.5000
P 0.7452 0.2452 0.5000
Rh 0.1502 0.3518 0.7984
Rh 0.4466 0.6482 0.7984
Rh 0.5000 0.0000 0.5000
Rh 0.5534 0.3518 0.2016
Rh 0.8498 0.6482 0.2016
CELL_PARAMETERS angstrom
-1.9478 3.4044 4.6808
1.9478 -3.4044 4.6808
1.9478 3.4044 -4.6808


! PBE Sm2PuP3Rh12, optimized geometry; values from VASP
! - Total DFT energy (no corrections): -0.27389 Ha/atom
! - Space group: No. 166
! - ΔE_f: -330 meV per atom
&SYSTEM
  ibrav = 0, nat = 18, ntyp = 4
/
ATOMIC_SPECIES
Sm 150.36 Sm.upf
Pu 244.00 Pu.upf
P 30.97 P.upf
Rh 102.91 Rh.upf
ATOMIC_POSITIONS crystal
Sm 0.1236 0.1236 0.1236
Sm 0.8764 0.8764 0.8764
Pu 0.5000 0.5000 0.5000
P 0.0000 0.5000 0.5000
P 0.5000 0.0000 0.5000
P 0.5000 0.5000 0.0000
Rh 0.1360 0.1360 0.5870
Rh 0.1360 0.5870 0.1360
Rh 0.1644 0.6762 0.6762
Rh 0.3238 0.3238 0.8356
Rh 0.3238 0.8356 0.3238
Rh 0.4130 0.8640 0.8640
Rh 0.5870 0.1360 0.1360
Rh 0.6762 0.1644 0.6762
Rh 0.6762 0.6762 0.1644
Rh 0.8356 0.3238 0.3238
Rh 0.8640 0.4130 0.8640
Rh 0.8640 0.8640 0.4130
CELL_PARAMETERS angstrom
4.4732 2.5826 4.3410
-4.4732 2.5826 4.3410
0.0000 -5.1652 4.3410


! PBE Pu3SnP2Rh9, optimized geometry; values from VASP
! - Total DFT energy (no corrections): -0.31957 Ha/atom
! - Space group: No. 164
! - ΔE_f: -431 meV per atom
&SYSTEM
  ibrav = 0, nat = 15, ntyp = 4
/
ATOMIC_SPECIES
Pu 244.00 Pu.upf
Sn 118.71 Sn.upf
P 30.97 P.upf
Rh 102.91 Rh.upf
ATOMIC_POSITIONS crystal
Pu 0.0000 0.0000 0.0000
Pu 0.3333 0.6667 0.4695
Pu 0.6667 0.3333 0.5305
Sn 0.0000 0.0000 0.5000
P 0.3333 0.6667 0.1870
P 0.6667 0.3333 0.8130
Rh 0.0000 0.5000 0.0000
Rh 0.1699 0.3399 0.7368
Rh 0.1699 0.8301 0.7368
Rh 0.3399 0.1699 0.2632
Rh 0.5000 0.0000 0.0000
Rh 0.5000 0.5000 0.0000
Rh 0.6601 0.8301 0.7368
Rh 0.8301 0.1699 0.2632
Rh 0.8301 0.6601 0.2632
CELL_PARAMETERS angstrom
5.6083 0.0000 0.0000
-2.8041 4.8569 0.0000
0.0000 0.0000 9.1563


! PBE PuThP2Rh2, optimized geometry; values from VASP
! - Total DFT energy (no corrections): -0.33181 Ha/atom
! - Space group: No. 164
! - ΔE_f: -1150 meV per atom
&SYSTEM
  ibrav = 0, nat = 6, ntyp = 4
/
ATOMIC_SPECIES
Pu 244.00 Pu.upf
Th 232.04 Th.upf
P 30.97 P.upf
Rh 102.91 Rh.upf
ATOMIC_POSITIONS crystal
Pu 0.0000 0.0000 0.0000
Th 0.0000 0.0000 0.5000
P 0.3333 0.6667 0.7747
P 0.6667 0.3333 0.2253
Rh 0.3333 0.6667 0.2621
Rh 0.6667 0.3333 0.7379
CELL_PARAMETERS angstrom
4.1316 0.0000 0.0000
-2.0658 3.5780 0.0000
0.0000 0.0000 7.7813


! PBE PuP4Ru6, optimized geometry; values from VASP
! - Total DFT energy (no corrections): -0.33083 Ha/atom
! - Space group: No. 187
! - ΔE_f: -673 meV per atom
&SYSTEM
  ibrav = 0, nat = 11, ntyp = 3
/
ATOMIC_SPECIES
Pu 244.00 Pu.upf
P 30.97 P.upf
Ru 101.07 Ru.upf
ATOMIC_POSITIONS crystal
Pu 0.0000 0.0000 0.0000
P 0.3333 0.6667 0.0000
P 0.3833 0.1916 0.5000
P 0.8084 0.1916 0.5000
P 0.8084 0.6167 0.5000
Ru 0.1988 0.3976 0.5000
Ru 0.1988 0.8012 0.5000
Ru 0.5337 0.0674 0.0000
Ru 0.5337 0.4663 0.0000
Ru 0.6024 0.8012 0.5000
Ru 0.9326 0.4663 0.0000
CELL_PARAMETERS angstrom
6.9309 0.0000 0.0000
-3.4654 6.0023 0.0000
0.0000 0.0000 3.7609


! PBE Pu2P7Ru12, optimized geometry; values from VASP
! - Total DFT energy (no corrections): -0.33580 Ha/atom
! - Space group: No. 174
! - ΔE_f: -669 meV per atom
&SYSTEM
  ibrav = 0, nat = 21, ntyp = 3
/
ATOMIC_SPECIES
Pu 244.00 Pu.upf
P 30.97 P.upf
Ru 101.07 Ru.upf
ATOMIC_POSITIONS crystal
Pu 0.0000 0.0000 0.0000
Pu 0.3333 0.6667 0.5000
P 0.0884 0.4471 0.0000
P 0.2675 0.2186 0.5000
P 0.3587 0.9116 0.0000
P 0.5529 0.6413 0.0000
P 0.6667 0.3333 0.0000
P 0.7814 0.0489 0.5000
P 0.9511 0.7325 0.5000
Ru 0.0574 0.2824 0.5000
Ru 0.0938 0.6938 0.0000
Ru 0.2249 0.9426 0.5000
Ru 0.3062 0.4000 0.0000
Ru 0.3950 0.1714 0.0000
Ru 0.5439 0.4220 0.5000
Ru 0.5780 0.1219 0.5000
Ru 0.6000 0.9062 0.0000
Ru 0.7176 0.7751 0.5000
Ru 0.7764 0.6050 0.0000
Ru 0.8286 0.2236 0.0000
Ru 0.8781 0.4561 0.5000
CELL_PARAMETERS angstrom
9.4568 0.0000 0.0000
-4.7284 8.1898 0.0000
0.0000 0.0000 3.9224


! PBE Pu2P3Ru2, optimized geometry; values from VASP
! - Total DFT energy (no corrections): -0.36359 Ha/atom
! - Space group: No. 12
! - ΔE_f: -830 meV per atom
&SYSTEM
  ibrav = 0, nat = 14, ntyp = 3
/
ATOMIC_SPECIES
Pu 244.00 Pu.upf
P 30.97 P.upf
Ru 101.07 Ru.upf
ATOMIC_POSITIONS crystal
Pu 0.1122 0.1122 0.4656
Pu 0.2301 0.2301 0.8368
Pu 0.7699 0.7699 0.1632
Pu 0.8878 0.8878 0.5344
P 0.1081 0.1081 0.9636
P 0.3478 0.3478 0.6957
P 0.4291 0.4291 0.3675
P 0.5709 0.5709 0.6325
P 0.6522 0.6522 0.3043
P 0.8919 0.8919 0.0364
Ru 0.0885 0.0885 0.1605
Ru 0.4548 0.4548 0.1792
Ru 0.5452 0.5452 0.8208
Ru 0.9115 0.9115 0.8395
CELL_PARAMETERS angstrom
7.3450 -1.9557 0.0000
7.3450 1.9557 0.0000
-6.5123 0.0000 8.9162


! PBE PuP2Ru4, optimized geometry; values from VASP
! - Distance to the lowest polymorph of the same formula: 56.0 meV/atom
! - Total DFT energy (no corrections): -0.34621 Ha/atom
! - Space group: No. 65
! - ΔE_f: -527 meV per atom
&SYSTEM
  ibrav = 0, nat = 7, ntyp = 3
/
ATOMIC_SPECIES
Pu 244.00 Pu.upf
P 30.97 P.upf
Ru 101.07 Ru.upf
ATOMIC_POSITIONS crystal
Pu 0.0000 0.0000 0.0000
P 0.4129 0.5871 0.5000
P 0.5871 0.4129 0.5000
Ru 0.1814 0.8186 0.5000
Ru 0.3175 0.6825 0.0000
Ru 0.6825 0.3175 0.0000
Ru 0.8186 0.1814 0.5000
CELL_PARAMETERS angstrom
1.9869 -6.8351 0.0000
1.9869 6.8351 0.0000
0.0000 0.0000 3.9428


! PBE Pu2PRu, optimized geometry; values from VASP
! - Distance to the lowest polymorph of the same formula: 0.0 meV/atom
! - Total DFT energy (no corrections): -0.41843 Ha/atom
! - Space group: No. 123
! - ΔE_f: -549 meV per atom
&SYSTEM
  ibrav = 0, nat = 4, ntyp = 3
/
ATOMIC_SPECIES
Pu 244.00 Pu.upf
P 30.97 P.upf
Ru 101.07 Ru.upf
ATOMIC_POSITIONS crystal
Pu 0.0000 0.0000 0.2419
Pu 0.0000 0.0000 0.7581
P 0.5000 0.5000 0.0000
Ru 0.5000 0.5000 0.5000
CELL_PARAMETERS angstrom
3.6277 0.0000 0.0000
0.0000 3.6277 0.0000
0.0000 0.0000 5.7542


! PBE Pu2P3Ru5, optimized geometry; values from VASP
! - Total DFT energy (no corrections): -0.35626 Ha/atom
! - Space group: No. 36
! - ΔE_f: -567 meV per atom
&SYSTEM
  ibrav = 0, nat = 20, ntyp = 3
/
ATOMIC_SPECIES
Pu 244.00 Pu.upf
P 30.97 P.upf
Ru 101.07 Ru.upf
ATOMIC_POSITIONS crystal
Pu 0.0167 0.9833 0.5000
Pu 0.3261 0.6739 0.4725
Pu 0.6739 0.3261 0.9725
Pu 0.9833 0.0167 0.0000
P 0.1115 0.8885 0.7275
P 0.2688 0.7312 0.9666
P 0.4462 0.5538 0.7196
P 0.5538 0.4462 0.2196
P 0.7312 0.2688 0.4666
P 0.8885 0.1115 0.2275
Ru 0.1023 0.8977 0.1542
Ru 0.2084 0.7916 0.6738
Ru 0.2090 0.7910 0.2618
Ru 0.3668 0.6332 0.9724
Ru 0.4372 0.5628 0.3454
Ru 0.5628 0.4372 0.8454
Ru 0.6332 0.3668 0.4724
Ru 0.7910 0.2090 0.7618
Ru 0.7916 0.2084 0.1738
Ru 0.8977 0.1023 0.6542
CELL_PARAMETERS angstrom
1.9949 -12.0231 0.0000
1.9949 12.0231 0.0000
0.0000 0.0000 6.4947


! PBE PuP2Ru4, optimized geometry; values from VASP
! - Distance to the lowest polymorph of the same formula: 0.0 meV/atom
! - Total DFT energy (no corrections): -0.34826 Ha/atom
! - Space group: No. 136
! - ΔE_f: -583 meV per atom
&SYSTEM
  ibrav = 0, nat = 14, ntyp = 3
/
ATOMIC_SPECIES
Pu 244.00 Pu.upf
P 30.97 P.upf
Ru 101.07 Ru.upf
ATOMIC_POSITIONS crystal
Pu 0.0000 0.0000 0.0000
Pu 0.5000 0.5000 0.5000
P 0.2239 0.2239 0.5000
P 0.2761 0.7239 0.0000
P 0.7239 0.2761 0.0000
P 0.7761 0.7761 0.5000
Ru 0.0754 0.6619 0.5000
Ru 0.1619 0.4246 0.0000
Ru 0.3381 0.9246 0.5000
Ru 0.4246 0.1619 0.0000
Ru 0.5754 0.8381 0.0000
Ru 0.6619 0.0754 0.5000
Ru 0.8381 0.5754 0.0000
Ru 0.9246 0.3381 0.5000
CELL_PARAMETERS angstrom
7.4844 0.0000 0.0000
0.0000 7.4844 0.0000
0.0000 0.0000 3.8042


! PBE Pu2PRu, optimized geometry; values from VASP
! - Distance to the lowest polymorph of the same formula: 488.9 meV/atom
! - Total DFT energy (no corrections): -0.40046 Ha/atom
! - Space group: No. 123
! - ΔE_f: -60 meV per atom
&SYSTEM
  ibrav = 0, nat = 4, ntyp = 3
/
ATOMIC_SPECIES
Pu 244.00 Pu.upf
P 30.97 P.upf
Ru 101.07 Ru.upf
ATOMIC_POSITIONS crystal
Pu 0.0000 0.5000 0.0000
Pu 0.5000 0.0000 0.0000
P 0.0000 0.0000 0.5000
Ru 0.5000 0.5000 0.5000
CELL_PARAMETERS angstrom
3.5292 0.0000 0.0000
0.0000 3.5292 0.0000
0.0000 0.0000 4.9423


! PBE PuPRu2, optimized geometry; values from VASP
! - Total DFT energy (no corrections): -0.36983 Ha/atom
! - Space group: No. 129
! - ΔE_f: -490 meV per atom
&SYSTEM
  ibrav = 0, nat = 8, ntyp = 3
/
ATOMIC_SPECIES
Pu 244.00 Pu.upf
P 30.97 P.upf
Ru 101.07 Ru.upf
ATOMIC_POSITIONS crystal
Pu 0.2500 0.2500 0.2086
Pu 0.7500 0.7500 0.7914
P 0.2500 0.2500 0.6476
P 0.7500 0.7500 0.3524
Ru 0.2500 0.2500 0.9126
Ru 0.2500 0.7500 0.5000
Ru 0.7500 0.2500 0.5000
Ru 0.7500 0.7500 0.0874
CELL_PARAMETERS angstrom
3.8717 0.0000 0.0000
0.0000 3.8717 0.0000
0.0000 0.0000 9.0668


! PBE PuP4Ru4, optimized geometry; values from VASP
! - Total DFT energy (no corrections): -0.31746 Ha/atom
! - Space group: No. 137
! - ΔE_f: -519 meV per atom
&SYSTEM
  ibrav = 0, nat = 18, ntyp = 3
/
ATOMIC_SPECIES
Pu 244.00 Pu.upf
P 30.97 P.upf
Ru 101.07 Ru.upf
ATOMIC_POSITIONS crystal
Pu 0.2500 0.7500 0.2500
Pu 0.7500 0.2500 0.7500
P 0.0367 0.2500 0.0658
P 0.2500 0.0367 0.5658
P 0.2500 0.4633 0.5658
P 0.4633 0.2500 0.0658
P 0.5367 0.7500 0.9342
P 0.7500 0.5367 0.4342
P 0.7500 0.9633 0.4342
P 0.9633 0.7500 0.9342
Ru 0.0225 0.2500 0.3691
Ru 0.2500 0.0225 0.8691
Ru 0.2500 0.4775 0.8691
Ru 0.4775 0.2500 0.3691
Ru 0.5225 0.7500 0.6309
Ru 0.7500 0.5225 0.1309
Ru 0.7500 0.9775 0.1309
Ru 0.9775 0.7500 0.6309
CELL_PARAMETERS angstrom
5.9802 0.0000 0.0000
0.0000 5.9802 0.0000
0.0000 0.0000 7.6898


! PBE Pu2P4Ru5, optimized geometry; values from VASP
! - Total DFT energy (no corrections): -0.34592 Ha/atom
! - Space group: No. 69
! - ΔE_f: -624 meV per atom
&SYSTEM
  ibrav = 0, nat = 11, ntyp = 3
/
ATOMIC_SPECIES
Pu 244.00 Pu.upf
P 30.97 P.upf
Ru 101.07 Ru.upf
ATOMIC_POSITIONS crystal
Pu 0.1251 0.1251 0.8749
Pu 0.8749 0.8749 0.1251
P 0.2124 0.5255 0.4745
P 0.4745 0.7876 0.2124
P 0.5255 0.2124 0.7876
P 0.7876 0.4745 0.5255
Ru 0.0000 0.0000 0.5000
Ru 0.2500 0.2500 0.2500
Ru 0.5000 0.5000 0.0000
Ru 0.5000 0.5000 0.5000
Ru 0.7500 0.7500 0.7500
CELL_PARAMETERS angstrom
0.0000 4.8969 6.7016
2.7952 0.0000 6.7016
2.7952 4.8969 0.0000